KHfNbPt2 | PBE | relaxed

Output
For the total DFT energy (no corrections), the calculation gives -4.627 eV/atom. The crystal system is tetragonal.

```
data_KHfNbPt2
_cell_length_a 4.816
_cell_length_b 4.816
_cell_length_c 4.628
_cell_angle_alpha 90.00
_cell_angle_beta 90.00
_cell_angle_gamma 90.00
_symmetry_space_group_name_H-M 'P 4/m m m'
_symmetry_Int_Tables_number 123
_symmetry_space_group_name_Hall '-P 4 2'
loop_
_atom_site_label
_atom_site_type_symbol
_atom_site_fract_x
_atom_site_fract_y
_atom_site_fract_z
_atom_site_occupancy
K1 K 0.000 0.000 0.000 1
Hf1 Hf 0.000 0.000 0.500 1
Nb1 Nb 0.500 0.500 0.500 1
Pt1 Pt 0.000 0.500 0.000 1
```